## w
GeWC3: relaxed, GGA-PBE.

a = 3.8362 Å, b = 3.8362 Å, c = 3.8362 Å
α = 90.00°, β = 90.00°, γ = 90.00°
Positions (direct):
Ge 0.0000 0.0000 0.0000
W 0.5000 0.5000 0.5000
C 0.0000 0.0000 0.5000
C 0.0000 0.5000 0.0000
C 0.5000 0.0000 0.0000

The density of states at the Fermi level is 3.3 states/eV/f.u. Its symmetry is Pm-3m (221). For the volume, the calculation gives 56.5 Å³/cell.

---

## x
GeWC3: relaxed, GGA-PBE.

a = 4.1282 Å, b = 4.1282 Å, c = 4.1282 Å
α = 90.00°, β = 90.00°, γ = 90.00°
Positions (direct):
Ge 0.0000 0.0000 0.0000
W 0.5000 0.5000 0.5000
C 0.0000 0.5000 0.5000
C 0.5000 0.0000 0.5000
C 0.5000 0.5000 0.0000

The density of states at the Fermi level is 3.8 states/eV/f.u. Its symmetry is Pm-3m (221). For the volume, the calculation gives 70.4 Å³/cell.

---

Name the most stable of them. x.

---

## w
Y4Ge2C: relaxed, GGA-PBE.

a = 6.5679 Å, b = 6.5434 Å, c = 8.5525 Å
α = 90.00°, β = 109.42°, γ = 90.00°
Positions (direct):
Y 0.0115 0.0022 0.2454
Y 0.0115 0.4978 0.2454
Y 0.4263 0.2500 0.5864
Y 0.4489 0.2500 0.1341
Y 0.5511 0.7500 0.8659
Y 0.5737 0.7500 0.4136
Y 0.9885 0.5022 0.7546
Y 0.9885 0.9978 0.7546
Ge 0.1982 0.7500 0.5466
Ge 0.2613 0.7500 0.0653
Ge 0.7387 0.2500 0.9347
Ge 0.8018 0.2500 0.4534
C 0.2588 0.2500 0.3102
C 0.7412 0.7500 0.6898

The density of states at the Fermi level is 2.1 states/eV/f.u. Its symmetry is P2_1/m (11). For the volume, the calculation gives 346.6 Å³/cell.

---

## x
Y4Ge2C: relaxed, GGA-PBE.

a = 8.2045 Å, b = 8.2045 Å, c = 6.7961 Å
α = 90.00°, β = 90.00°, γ = 132.48°
Positions (direct):
Y 0.1690 0.8310 0.9551
Y 0.2380 0.2620 0.7500
Y 0.2620 0.2380 0.2500
Y 0.3310 0.6690 0.4551
Y 0.6690 0.3310 0.5449
Y 0.7380 0.7620 0.7500
Y 0.7620 0.7380 0.2500
Y 0.8310 0.1690 0.0449
Ge 0.1363 0.8637 0.5187
Ge 0.3637 0.6363 0.0187
Ge 0.6363 0.3637 0.9813
Ge 0.8637 0.1363 0.4813
C 0.0000 0.0000 0.0000
C 0.5000 0.5000 0.5000

The density of states at the Fermi level is 0.6 states/eV/f.u. Its symmetry is Cmce (64). For the volume, the calculation gives 337.4 Å³/cell.

---

Name the most stable of them. x.

---

## w
ZnGe3C: relaxed, GGA-PBE.

a = 4.3466 Å, b = 4.3466 Å, c = 4.3466 Å
α = 90.00°, β = 90.00°, γ = 90.00°
Positions (direct):
Zn 0.0000 0.0000 0.0000
Ge 0.0000 0.5000 0.5000
Ge 0.5000 0.0000 0.5000
Ge 0.5000 0.5000 0.0000
C 0.5000 0.5000 0.5000

The density of states at the Fermi level is 2.7 states/eV/f.u. Its symmetry is Pm-3m (221). For the volume, the calculation gives 82.1 Å³/cell.

---

## x
ZnGe3C: relaxed, GGA-PBE.

a = 4.7671 Å, b = 4.7671 Å, c = 4.7671 Å
α = 90.00°, β = 90.00°, γ = 90.00°
Positions (direct):
Zn 0.0000 0.0000 0.0000
Ge 0.0000 0.0000 0.5000
Ge 0.0000 0.5000 0.0000
Ge 0.5000 0.0000 0.0000
C 0.5000 0.5000 0.5000

The density of states at the Fermi level is 3.6 states/eV/f.u. Its symmetry is Pm-3m (221). For the volume, the calculation gives 108.3 Å³/cell.

---

Name the most stable of them. w.

---

## w
ZrGe2C2: relaxed, GGA-PBE.

a = 4.0996 Å, b = 4.0996 Å, c = 7.8239 Å
α = 90.00°, β = 90.00°, γ = 90.00°
Positions (direct):
Zr 0.0000 0.0000 0.0000
Zr 0.5000 0.5000 0.5000
Ge 0.0000 0.0000 0.3382
Ge 0.0000 0.0000 0.6618
Ge 0.5000 0.5000 0.1618
Ge 0.5000 0.5000 0.8382
C 0.0000 0.5000 0.2500
C 0.0000 0.5000 0.7500
C 0.5000 0.0000 0.2500
C 0.5000 0.0000 0.7500

The density of states at the Fermi level is 2.8 states/eV/f.u. Its symmetry is I4/mmm (139). For the volume, the calculation gives 131.5 Å³/cell.

---

## x
ZrGe2C2: relaxed, GGA-PBE.

a = 6.9556 Å, b = 6.9556 Å, c = 3.0921 Å
α = 90.00°, β = 90.00°, γ = 90.00°
Positions (direct):
Zr 0.0000 0.0000 0.0000
Zr 0.5000 0.5000 0.0000
Ge 0.1182 0.3818 0.0000
Ge 0.3818 0.8818 0.0000
Ge 0.6182 0.1182 0.0000
Ge 0.8818 0.6182 0.0000
C 0.2343 0.2657 0.5000
C 0.2657 0.7657 0.5000
C 0.7343 0.2343 0.5000
C 0.7657 0.7343 0.5000

The density of states at the Fermi level is 2.8 states/eV/f.u. Its symmetry is P4/mbm (127). For the volume, the calculation gives 149.6 Å³/cell.

---

Name the most stable of them. w.

---

## w
ZrGeC3: relaxed, GGA-PBE.

a = 3.9010 Å, b = 3.9010 Å, c = 3.9010 Å
α = 90.00°, β = 90.00°, γ = 90.00°
Positions (direct):
Zr 0.0000 0.0000 0.0000
Ge 0.5000 0.5000 0.5000
C 0.0000 0.5000 0.5000
C 0.5000 0.0000 0.5000
C 0.5000 0.5000 0.0000

The density of states at the Fermi level is 3.2 states/eV/f.u. Its symmetry is Pm-3m (221). For the volume, the calculation gives 59.4 Å³/cell.

---

## x
ZrGeC3: relaxed, GGA-PBE.

a = 4.3466 Å, b = 4.3466 Å, c = 4.3466 Å
α = 90.00°, β = 90.00°, γ = 90.00°
Positions (direct):
Zr 0.0000 0.0000 0.0000
Ge 0.5000 0.5000 0.5000
C 0.0000 0.0000 0.5000
C 0.0000 0.5000 0.0000
C 0.5000 0.0000 0.0000

The density of states at the Fermi level is 3.9 states/eV/f.u. Its symmetry is Pm-3m (221). For the volume, the calculation gives 82.1 Å³/cell.

---

Name the most stable of them. w.

---

## w
KHCO3: relaxed, GGA-PBE.

a = 3.7886 Å, b = 5.7246 Å, c = 15.2503 Å
α = 90.00°, β = 102.36°, γ = 90.00°
Positions (direct):
K 0.0421 0.0269 0.1651
K 0.0421 0.4731 0.6651
K 0.9579 0.5269 0.3349
K 0.9579 0.9731 0.8349
H 0.4857 0.6885 0.0139
H 0.4857 0.8115 0.5139
H 0.5143 0.1885 0.4861
H 0.5143 0.3115 0.9861
C 0.3935 0.5162 0.1198
C 0.3935 0.9838 0.6198
C 0.6065 0.0162 0.3802
C 0.6065 0.4838 0.8802
O 0.3017 0.5341 0.1944
O 0.3017 0.9659 0.6944
O 0.4363 0.7203 0.0770
O 0.4363 0.7797 0.5770
O 0.4491 0.1768 0.5821
O 0.4491 0.3232 0.0821
O 0.5509 0.6768 0.9179
O 0.5509 0.8232 0.4179
O 0.5637 0.2203 0.4230
O 0.5637 0.2797 0.9230
O 0.6983 0.0341 0.3056
O 0.6983 0.4659 0.8056

The density of states at the Fermi level is 0.0 states/eV/f.u. Its symmetry is P2_1/c (14). For the volume, the calculation gives 323.1 Å³/cell.

---

## x
KHCO3: relaxed, GGA-PBE.

a = 5.5902 Å, b = 5.5902 Å, c = 11.1398 Å
α = 103.79°, β = 103.79°, γ = 73.13°
Positions (direct):
K 0.0186 0.7037 0.8672
K 0.2963 0.9814 0.6328
K 0.7037 0.0186 0.3672
K 0.9814 0.2963 0.1328
H 0.3761 0.5808 0.3520
H 0.4192 0.6239 0.1480
H 0.5808 0.3761 0.8520
H 0.6239 0.4192 0.6480
C 0.0893 0.4594 0.4499
C 0.4594 0.0893 0.9499
C 0.5406 0.9107 0.0501
C 0.9107 0.5406 0.5501
O 0.1371 0.6411 0.4158
O 0.1715 0.2255 0.4094
O 0.2255 0.1715 0.9094
O 0.3589 0.8629 0.0842
O 0.4529 0.4602 0.1825
O 0.4602 0.4529 0.6825
O 0.5398 0.5471 0.3175
O 0.5471 0.5398 0.8175
O 0.6411 0.1371 0.9158
O 0.7745 0.8285 0.0906
O 0.8285 0.7745 0.5906
O 0.8629 0.3589 0.5842

The density of states at the Fermi level is 0.0 states/eV/f.u. Its symmetry is C2/c (15). For the volume, the calculation gives 318.1 Å³/cell.

---

Name the most stable of them. w.

---

## w
MgH6C2O6: relaxed, GGA-PBE.

a = 7.5410 Å, b = 8.7250 Å, c = 8.5468 Å
α = 90.00°, β = 90.00°, γ = 90.00°
Positions (direct):
Mg 0.0000 0.0000 0.0000
Mg 0.0000 0.5000 0.5000
Mg 0.5000 0.0000 0.5000
Mg 0.5000 0.5000 0.0000
H 0.0688 0.1722 0.3093
H 0.0688 0.3278 0.8093
H 0.1553 0.0053 0.6222
H 0.1553 0.4947 0.1222
H 0.1618 0.6189 0.9852
H 0.1618 0.8811 0.4852
H 0.3382 0.1189 0.9852
H 0.3382 0.3811 0.4852
H 0.3447 0.5053 0.6222
H 0.3447 0.9947 0.1222
H 0.4312 0.6722 0.3093
H 0.4312 0.8278 0.8093
H 0.5688 0.1722 0.1907
H 0.5688 0.3278 0.6907
H 0.6553 0.0053 0.8778
H 0.6553 0.4947 0.3778
H 0.6618 0.6189 0.5148
H 0.6618 0.8811 0.0148
H 0.8382 0.1189 0.5148
H 0.8382 0.3811 0.0148
H 0.8447 0.5053 0.8778
H 0.8447 0.9947 0.3778
H 0.9312 0.6722 0.1907
H 0.9312 0.8278 0.6907
C 0.0153 0.2377 0.7313
C 0.0153 0.2623 0.2313
C 0.4847 0.7377 0.7313
C 0.4847 0.7623 0.2313
C 0.5153 0.2377 0.7687
C 0.5153 0.2623 0.2687
C 0.9847 0.7377 0.7687
C 0.9847 0.7623 0.2687
O 0.0217 0.0993 0.7781
O 0.0217 0.4007 0.2781
O 0.0464 0.7218 0.4006
O 0.0464 0.7782 0.9006
O 0.2293 0.5347 0.0365
O 0.2293 0.9653 0.5365
O 0.2707 0.0347 0.0365
O 0.2707 0.4653 0.5365
O 0.4536 0.2218 0.4006
O 0.4536 0.2782 0.9006
O 0.4783 0.5993 0.7781
O 0.4783 0.9007 0.2781
O 0.5217 0.0993 0.7219
O 0.5217 0.4007 0.2219
O 0.5464 0.7218 0.0994
O 0.5464 0.7782 0.5994
O 0.7293 0.5347 0.4635
O 0.7293 0.9653 0.9635
O 0.7707 0.0347 0.4635
O 0.7707 0.4653 0.9635
O 0.9536 0.2218 0.0994
O 0.9536 0.2782 0.5994
O 0.9783 0.5993 0.7219
O 0.9783 0.9007 0.2219

The density of states at the Fermi level is 0.0 states/eV/f.u. Its symmetry is Pbca (61). For the volume, the calculation gives 562.3 Å³/cell.

---

## x
MgH6C2O6: relaxed, GGA-PBE.

a = 8.7197 Å, b = 7.1864 Å, c = 9.4781 Å
α = 90.00°, β = 98.06°, γ = 90.00°
Positions (direct):
Mg 0.0000 0.0000 0.0000
Mg 0.0000 0.5000 0.5000
Mg 0.5000 0.0000 0.5000
Mg 0.5000 0.5000 0.0000
H 0.0317 0.1518 0.2775
H 0.0317 0.3482 0.7775
H 0.1684 0.0281 0.6144
H 0.1684 0.4719 0.1144
H 0.1977 0.1004 0.2364
H 0.1977 0.3996 0.7364
H 0.2677 0.6082 0.4599
H 0.2677 0.8918 0.9599
H 0.2926 0.1087 0.9966
H 0.2926 0.3913 0.4966
H 0.4275 0.7075 0.7227
H 0.4275 0.7925 0.2227
H 0.5725 0.2075 0.7773
H 0.5725 0.2925 0.2773
H 0.7074 0.6087 0.5034
H 0.7074 0.8913 0.0034
H 0.7323 0.1082 0.0401
H 0.7323 0.3918 0.5401
H 0.8023 0.6004 0.2636
H 0.8023 0.8996 0.7636
H 0.8316 0.5281 0.8856
H 0.8316 0.9719 0.3856
H 0.9683 0.6518 0.2225
H 0.9683 0.8482 0.7225
C 0.1736 0.6126 0.0676
C 0.1736 0.8874 0.5676
C 0.4652 0.2244 0.2269
C 0.4652 0.2756 0.7269
C 0.5348 0.7244 0.2731
C 0.5348 0.7756 0.7731
C 0.8264 0.1126 0.4324
C 0.8264 0.3874 0.9324
O 0.0623 0.7225 0.0801
O 0.0623 0.7775 0.5801
O 0.0863 0.1093 0.1980
O 0.0863 0.3907 0.6980
O 0.2223 0.0180 0.9408
O 0.2223 0.4820 0.4408
O 0.2910 0.6524 0.0067
O 0.2910 0.8476 0.5067
O 0.4015 0.1064 0.2996
O 0.4015 0.3936 0.7996
O 0.4138 0.2297 0.5994
O 0.4138 0.2703 0.0994
O 0.5862 0.7297 0.9006
O 0.5862 0.7703 0.4006
O 0.5985 0.6064 0.2004
O 0.5985 0.8936 0.7004
O 0.7090 0.1524 0.4933
O 0.7090 0.3476 0.9933
O 0.7777 0.5180 0.5592
O 0.7777 0.9820 0.0592
O 0.9137 0.6093 0.3020
O 0.9137 0.8907 0.8020
O 0.9377 0.2225 0.4199
O 0.9377 0.2775 0.9199

The density of states at the Fermi level is 0.0 states/eV/f.u. Its symmetry is P2_1/c (14). For the volume, the calculation gives 588.1 Å³/cell.

---

Name the most stable of them. x.